# 1
Computed, not measured: a geometry-optimized NiTeN3 structure at the PBE level of DFT.

Cell lengths 3.926, 3.926, 3.926 Å; angles 90.00, 90.00, 90.00 degrees
Space group Pm-3m (No. 221)
Unique sites:
Ni 0.000 0.000 0.000
Te 0.500 0.500 0.500
N 0.000 0.500 0.500

Values from the calculation:
The calculation puts the raw total energy at -4.77 eV per atom. Its uncorrected formation energy is 2.008 eV per atom. For the volume, the calculation gives 12.10 Å³/atom.

=====

# 2
Computed, not measured: a geometry-optimized TmPuCo structure at the PBE level of DFT.

Cell lengths 4.2005, 4.2005, 4.3879 Å; angles 90.00, 90.00, 120.00 degrees
Space group P-6m2 (No. 187)
Unique sites:
Tm 0.0000 0.0000 0.0000
Pu 0.3333 0.6667 0.5000
Co 0.6667 0.3333 0.5000

Values from the calculation:
The calculation puts the raw total energy at -8.42 eV per atom. As for the energy of formation: 0.66 eV/f.u. For the volume, the calculation gives 22.35 Å³/atom.

=====

# 3
Computed, not measured: a geometry-optimized K2YCd structure at the PBE level of DFT.

Cell lengths 3.674, 6.158, 7.095 Å; angles 90.00, 90.00, 90.00 degrees
Space group Pmmm (No. 47)
Unique sites:
K 0.000 0.000 0.237
Y 0.500 0.500 0.500
Cd 0.500 0.500 0.000

Values from the calculation:
The calculation puts the raw total energy at -2.03 eV per atom. As for the energy of formation: 1.47 eV/f.u. For the volume, the calculation gives 40.13 Å³/atom.

=====

# 4
Computed, not measured: a geometry-optimized CeLuRh2 structure at the PBE level of DFT.

Cell lengths 3.406, 3.406, 6.914 Å; angles 90.00, 90.00, 90.00 degrees
Space group P4/mmm (No. 123)
Unique sites:
Ce 0.000 0.000 0.000
Lu 0.000 0.000 0.500
Rh 0.500 0.500 0.257

Values from the calculation:
The calculation puts the raw total energy at -7.12 eV per atom. As for the energy of formation: -3.30 eV/f.u. For the volume, the calculation gives 20.05 Å³/atom.

=====

# 5
Computed, not measured: a geometry-optimized Tm5SnTe4 structure at the PBE level of DFT.

Cell lengths 9.679, 9.679, 6.087 Å; angles 90.00, 90.00, 90.00 degrees
Space group I4/m (No. 87)
Unique sites:
Tm 0.000 0.000 0.000
Tm 0.101 0.711 0.500
Sn 0.000 0.000 0.500
Te 0.096 0.696 0.000

Values from the calculation:
The calculation puts the raw total energy at -5.02 eV per atom. Its uncorrected formation energy is -1.128 eV per atom. For the volume, the calculation gives 28.51 Å³/atom.

=====

# 6
Computed, not measured: a geometry-optimized ScBe2Fe2 structure at the PBE level of DFT.

Cell lengths 6.329, 6.329, 2.844 Å; angles 90.00, 90.00, 90.00 degrees
Space group P4/mbm (No. 127)
Unique sites:
Sc 0.000 0.000 0.000
Be 0.117 0.383 0.000
Fe 0.169 0.669 0.500

Values from the calculation:
The calculation puts the raw total energy at -6.23 eV per atom. As for the energy of formation: -0.45 eV/f.u. For the volume, the calculation gives 11.39 Å³/atom.

=====

# 7
Computed, not measured: a geometry-optimized Ni3RuC structure at the PBE level of DFT.

Cell lengths 4.423, 4.423, 4.423 Å; angles 90.00, 90.00, 90.00 degrees
Space group Pm-3m (No. 221)
Unique sites:
Ni 0.000 0.000 0.500
Ru 0.000 0.000 0.000
C 0.500 0.500 0.500

Values from the calculation:
The calculation puts the raw total energy at -4.57 eV per atom. As for the energy of formation: 12.98 eV/f.u. For the volume, the calculation gives 17.30 Å³/atom.

=====

# 8
Computed, not measured: a geometry-optimized Y3ZrH structure at the PBE level of DFT.

Cell lengths 4.888, 4.888, 4.888 Å; angles 90.00, 90.00, 90.00 degrees
Space group Pm-3m (No. 221)
Unique sites:
Y 0.000 0.000 0.500
Zr 0.500 0.500 0.500
H 0.000 0.000 0.000

Values from the calculation:
The calculation puts the raw total energy at -6.35 eV per atom. For the volume, the calculation gives 23.35 Å³/atom.

=====

# 9
Computed, not measured: a geometry-optimized Li3HgRh structure at the PBE level of DFT.

Cell lengths 4.656, 4.656, 4.656 Å; angles 90.00, 90.00, 90.00 degrees
Space group Pm-3m (No. 221)
Unique sites:
Li 0.000 0.000 0.500
Hg 0.500 0.500 0.500
Rh 0.000 0.000 0.000

Values from the calculation:
The calculation puts the raw total energy at -2.52 eV per atom. As for the energy of formation: 0.81 eV/f.u. For the volume, the calculation gives 20.19 Å³/atom.

=====

# 10
Computed, not measured: a geometry-optimized AgSb3Pd12 structure at the PBE level of DFT.

Cell lengths 4.044, 4.044, 16.149 Å; angles 90.00, 90.00, 90.00 degrees
Space group P4/mmm (No. 123)
Unique sites:
Ag 0.000 0.000 0.000
Sb 0.000 0.000 0.239
Sb 0.000 0.000 0.500
Pd 0.000 0.500 0.125
Pd 0.000 0.500 0.376
Pd 0.500 0.500 0.000
Pd 0.500 0.500 0.254
Pd 0.500 0.500 0.500

Values from the calculation:
The calculation puts the raw total energy at -5.16 eV per atom. Its uncorrected formation energy is -0.312 eV per atom. For the volume, the calculation gives 16.51 Å³/atom.

=====

# 11
Computed, not measured: a geometry-optimized ScHg2Se structure at the PBE level of DFT.

Cell lengths 4.506, 4.506, 8.796 Å; angles 90.00, 90.00, 90.00 degrees
Space group I-4m2 (No. 119)
Unique sites:
Sc 0.000 0.000 0.000
Hg 0.000 0.000 0.500
Hg 0.000 0.500 0.250
Se 0.000 0.500 0.750

Values from the calculation:
The calculation puts the raw total energy at -2.98 eV per atom. Its uncorrected formation energy is -0.372 eV per atom. For the volume, the calculation gives 22.32 Å³/atom.

=====

# 12
Computed, not measured: a geometry-optimized ZrSnPb2O6 structure at the PBE level of DFT.

Cell lengths 5.915, 8.327, 5.995 Å; angles 90.00, 90.00, 90.00 degrees
Space group Pmmn (No. 59, origin choice 2)
Unique sites:
Zr 0.250 0.250 0.225
Sn 0.250 0.750 0.244
Pb 0.250 0.027 0.695
O 0.001 0.250 0.995
O 0.015 0.250 0.520
O 0.250 0.501 0.285

Values from the calculation:
The calculation puts the raw total energy at -6.88 eV per atom. Its uncorrected formation energy is -1.906 eV per atom. For the volume, the calculation gives 14.76 Å³/atom.